Sc2FeBr: relaxed, PBE-GGA.

Summary:
space-group type	F-43m, No. 216
relative energy among the computed polymorphs	933	meV/atom
final energy	-21.1	eV/cell
raw formation energy	0.4336	eV per atom

a = 4.8005 Å, b = 4.8005 Å, c = 4.8005 Å
α = 60.00°, β = 60.00°, γ = 60.00°
Site moments in Bohr magnetons follow the coordinates.
Element x y z (fractional)
Br  0.5000  0.5000  0.5000  0.04
Fe  0.7500  0.7500  0.7500  2.37
Sc  0.0000  0.0000  0.0000  -0.77
Sc  0.2500  0.2500  0.2500  -0.56

***

Sc3FeBr: relaxed, PBE-GGA.

Summary:
space-group type	Pm-3m, No. 221
relative energy among the computed polymorphs	0	meV/atom
final energy	-29.4	eV/cell
raw formation energy	-0.0563	eV per atom

a = 4.8990 Å, b = 4.8990 Å, c = 4.8990 Å
α = 90.00°, β = 90.00°, γ = 90.00°
Element x y z (fractional)
Sc  0.0000  0.5000  0.0000
Sc  0.0000  0.0000  0.5000
Sc  0.5000  0.0000  0.0000
Fe  0.0000  0.0000  0.0000
Br  0.5000  0.5000  0.5000

***

ScFe2Br: relaxed, PBE-GGA.

Summary:
space-group type	Immm, No. 71
relative energy among the computed polymorphs	315	meV/atom
final energy	-24.1	eV/cell
raw formation energy	0.2128	eV per atom

a = 5.5373 Å, b = 5.5373 Å, c = 5.5373 Å
α = 146.85°, β = 134.20°, γ = 57.70°
Site moments in Bohr magnetons follow the coordinates.
Element x y z (fractional)
Br  0.7500  0.2500  0.5000  0.07
Fe  0.0023  0.0023  0.0000  2.55
Fe  0.4977  0.4977  0.0000  2.55
Sc  0.2500  0.7500  0.5000  -0.45

***

ScFeSeBr2: relaxed, PBE-GGA.

Summary:
space-group type	P4/mmm, No. 123
relative energy among the computed polymorphs	0	meV/atom
final energy	-22.9	eV/cell
raw formation energy	-0.2644	eV per atom

a = 5.2419 Å, b = 5.2419 Å, c = 5.2600 Å
α = 90.00°, β = 90.00°, γ = 90.00°
Site moments in Bohr magnetons follow the coordinates.
Element x y z (fractional)
Sc  0.0000  0.0000  0.0000  0.03
Se  0.0000  0.0000  0.5000  0.00
Br  0.0000  0.5000  0.0000  0.02
Br  0.5000  0.0000  0.0000  0.02
Fe  0.5000  0.5000  0.5000  3.48

***

ScFeSe2Br: relaxed, PBE-GGA.

Summary:
space-group type	P4/mmm, No. 123
relative energy among the computed polymorphs	0	meV/atom
final energy	-24.5	eV/cell
raw formation energy	-0.2076	eV per atom

a = 4.8156 Å, b = 4.8156 Å, c = 4.8131 Å
α = 90.00°, β = 90.00°, γ = 90.00°
Site moments in Bohr magnetons follow the coordinates.
Element x y z (fractional)
Sc  0.5000  0.5000  0.5000  -0.33
Se  0.0000  0.5000  0.0000  0.07
Se  0.5000  0.0000  0.0000  0.07
Br  0.0000  0.0000  0.5000  0.04
Fe  0.0000  0.0000  0.0000  2.44

***

ScFeSe2Br: relaxed, PBE-GGA.

Summary:
space-group type	P4/mmm, No. 123
relative energy among the computed polymorphs	78	meV/atom
final energy	-24.1	eV/cell
raw formation energy	-0.1300	eV per atom

a = 5.1774 Å, b = 5.1774 Å, c = 5.1540 Å
α = 90.00°, β = 90.00°, γ = 90.00°
Site moments in Bohr magnetons follow the coordinates.
Element x y z (fractional)
Sc  0.0000  0.0000  0.0000  0.01
Se  0.0000  0.5000  0.0000  0.00
Se  0.5000  0.0000  0.0000  0.00
Br  0.0000  0.0000  0.5000  0.04
Fe  0.5000  0.5000  0.5000  3.36

***

ScFeSeBr2: relaxed, PBE-GGA.

Summary:
space-group type	P4/mmm, No. 123
relative energy among the computed polymorphs	116	meV/atom
final energy	-22.4	eV/cell
raw formation energy	-0.1479	eV per atom

a = 4.9220 Å, b = 4.9220 Å, c = 4.9356 Å
α = 90.00°, β = 90.00°, γ = 90.00°
Site moments in Bohr magnetons follow the coordinates.
Element x y z (fractional)
Sc  0.5000  0.5000  0.5000  0.62
Se  0.0000  0.0000  0.5000  0.01
Br  0.0000  0.5000  0.0000  0.03
Br  0.5000  0.0000  0.0000  0.03
Fe  0.0000  0.0000  0.0000  2.72

***

ScFeSiBr2: relaxed, PBE-GGA.

Summary:
space-group type	P4/mmm, No. 123
final energy	-21.0	eV/cell
raw formation energy	0.5062	eV per atom

a = 5.1168 Å, b = 5.3612 Å, c = 5.1168 Å
α = 90.00°, β = 90.00°, γ = 90.00°
Site moments in Bohr magnetons follow the coordinates.
Element x y z (fractional)
Sc  0.0000  0.0000  0.0000  -0.37
Si  0.5000  0.5000  0.5000  -0.36
Fe  0.0000  0.5000  0.0000  2.92
Br  0.0000  0.0000  0.5000  -0.03
Br  0.5000  0.0000  0.0000  -0.03

***

- Number 4 is which compound?
  ScFeSeBr2